# CsAsI3

A geometry-optimized CsAsI3 structure (PBE, Alexandria).

Cell and atoms, written as extended XYZ:
```
5
Lattice="7.479 0.000 0.000 0.000 7.479 0.000 0.000 0.000 7.479" Properties=species:S:1:pos:R:3 pbc="T T T"
Cs 0.000 0.000 0.000
As 3.740 3.740 3.740
I 0.000 0.000 3.740
I 0.000 3.740 0.000
I 3.740 0.000 0.000
```

Summary:
- Distance to the lowest polymorph of the same formula: 1125.0 meV/atom
- Total energy: -1.62 eV per atom
- Theoretical density: 2336 kg/m³
- Calculated volume: 418 Å³ per cell
- SG: Pm-3m, No. 221

---

# CsAsI3

A geometry-optimized CsAsI3 structure (PBE, Alexandria).

Cell and atoms, written as extended XYZ:
```
5
Lattice="4.341 0.000 0.000 0.000 5.765 4.882 0.000 -5.765 4.882" Properties=species:S:1:pos:R:3 pbc="T T T"
Cs 0.000 0.000 0.000
As 2.171 0.000 6.100
I 0.000 -1.956 6.320
I 0.000 1.956 6.320
I 2.171 0.000 2.930
```

Summary:
- Distance to the lowest polymorph of the same formula: 283.7 meV/atom
- Total energy: -2.46 eV per atom
- Theoretical density: 4000 kg/m³
- Calculated volume: 244 Å³ per cell
- SG: Amm2, No. 38

---

# Cs2As2I

A geometry-optimized Cs2As2I structure (PBE, Alexandria).

Cell and atoms, written as extended XYZ:
```
5
Lattice="-2.017 2.017 11.446 2.017 -2.017 11.446 2.017 2.017 -11.446" Properties=species:S:1:pos:R:3 pbc="T T T"
Cs 0.000 0.000 2.524
Cs 0.000 0.000 20.367
As 2.017 0.000 5.723
As 0.000 2.017 5.723
I 0.000 0.000 11.446
```

Summary:
- Distance to the lowest polymorph of the same formula: 9.3 meV/atom
- Total energy: -3.11 eV per atom
- Theoretical density: 4836 kg/m³
- Calculated volume: 186 Å³ per cell
- SG: I4/mmm, No. 139

---

# Cs5As4I2

A geometry-optimized Cs5As4I2 structure (PBE, Alexandria).

Cell and atoms, written as extended XYZ:
```
11
Lattice="7.255 -5.123 0.000 7.255 5.123 0.000 -3.882 0.000 9.364" Properties=species:S:1:pos:R:3 pbc="T T T"
Cs 0.000 0.000 0.000
Cs 3.184 2.747 2.739
Cs 7.444 2.747 6.625
Cs 3.184 -2.747 2.739
Cs 7.444 -2.747 6.625
As -1.362 0.000 3.595
As 0.946 0.000 3.820
As 9.682 0.000 5.543
As 11.990 0.000 5.769
I 4.162 0.000 0.257
I 6.467 0.000 9.107
```

Summary:
- Total energy: -3.08 eV per atom
- Theoretical density: 2906 kg/m³
- Calculated volume: 696 Å³ per cell
- SG: C2/m, No. 12

---

# Cs3AsI8

A geometry-optimized Cs3AsI8 structure (PBE, Alexandria).

Cell and atoms, written as extended XYZ:
```
12
Lattice="-4.319 4.319 8.616 4.319 -4.319 8.616 4.319 4.319 -8.616" Properties=species:S:1:pos:R:3 pbc="T T T"
Cs 0.000 0.000 0.000
Cs 4.319 0.000 4.308
Cs 0.000 4.319 4.308
As 0.000 0.000 8.616
I 2.491 2.491 -1.836
I 1.827 -1.827 6.781
I 2.491 2.491 1.836
I 1.827 -1.827 10.452
I -1.827 1.827 6.781
I 1.827 1.827 6.781
I -1.827 1.827 10.452
I 1.827 1.827 10.452
```

Summary:
- Total energy: -2.19 eV per atom
- Theoretical density: 3846 kg/m³
- Calculated volume: 643 Å³ per cell
- SG: I4/mmm, No. 139

---

# CsAsI3

A geometry-optimized CsAsI3 structure (PBE, Alexandria).

Cell and atoms, written as extended XYZ:
```
10
Lattice="4.322 -9.493 0.000 4.322 9.493 0.000 0.000 0.000 7.947" Properties=species:S:1:pos:R:3 pbc="T T T"
Cs 4.322 6.361 5.960
Cs 4.322 -6.361 1.987
As 4.322 2.038 5.960
As 4.322 -2.038 1.987
I 1.839 3.316 5.960
I 1.839 -3.316 1.987
I 4.322 0.000 0.000
I 4.322 0.000 3.974
I 6.806 3.316 5.960
I 6.806 -3.316 1.987
```

Summary:
- Distance to the lowest polymorph of the same formula: 179.6 meV/atom
- Total energy: -2.56 eV per atom
- Theoretical density: 2997 kg/m³
- Calculated volume: 652 Å³ per cell
- SG: Cmcm, No. 63